[1]
Material: Er3Lu
Method: DFT, PBE
State: relaxed

Cell lengths 7.116, 7.116, 5.533 Å; angles 90.00, 90.00, 120.00 degrees
Fractional positions:
Er1 0.833 0.167 0.750
Er2 0.334 0.167 0.750
Er3 0.833 0.666 0.750
Er4 0.167 0.833 0.250
Er5 0.666 0.833 0.250
Er6 0.167 0.334 0.250
Lu1 0.667 0.333 0.250
Lu2 0.333 0.667 0.750

Properties
ΔE to the lowest computed polymorph in eV per formula unit: 0.01
Symmetry: P6_3/mmc (194)
DOS at the Fermi energy in states/eV/atom: 1.904
Energy of formation in eV per atom: 0.000


[2]
Material: Er3Lu
Method: DFT, PBE
State: relaxed

Cell lengths 4.928, 4.928, 6.037 Å; angles 114.09, 114.09, 90.00 degrees
Fractional positions:
Lu1 0.000 0.000 0.000
Er1 0.750 0.250 0.500
Er2 0.250 0.750 0.500
Er3 0.500 0.500 0.000

Properties
ΔE to the lowest computed polymorph in eV per formula unit: 0.13
Symmetry: I4/mmm (139)
DOS at the Fermi energy in states/eV/atom: 1.442
Energy of formation in eV per atom: 0.028


[3]
Material: Er3Lu
Method: DFT, PBE
State: relaxed

Cell lengths 3.563, 6.165, 6.573 Å; angles 117.97, 105.73, 90.00 degrees
Fractional positions:
Lu1 0.000 0.001 0.000
Er1 0.251 0.584 0.501
Er2 0.500 0.500 0.000
Er3 0.749 0.083 0.499

Properties
ΔE to the lowest computed polymorph in eV per formula unit: 0.00
Symmetry: Imm2 (44)
DOS at the Fermi energy in states/eV/atom: 1.619
Energy of formation in eV per atom: -0.003


Number 3 is which compound? Er3Lu


Which value of DOS at the Fermi energy does entry 2 give? 1.442 states/eV/atom


Which of these has the highest energy of formation? number 2